# 1
## MgPb2Au (PBE)

Data for a relaxed structure of MgPb2Au.

Properties
- magnetic moment (Bohr magnetons per cell) = 0.000
- E (eV/atom) = -3.124

Unit cell a=5.245 b=5.245 c=3.751 alpha=90.00 beta=90.00 gamma=104.13
Sites, in units of the cell vectors:
Mg  0.000  0.000  0.000
Pb  0.000  0.500  0.500
Pb  0.500  0.000  0.500
Au  0.500  0.500  0.000



# 2
## Sm2BeReN5 (PBE)

Data for a relaxed structure of Sm2BeReN5.

Properties
- uncorrected formation energy (eV per atom) = -0.6806
- magnetic moment (Bohr magnetons per cell) = 0.000

Unit cell a=7.110 b=7.110 c=9.797 alpha=90.00 beta=90.00 gamma=154.44
Sites, in units of the cell vectors:
Sm  0.114  0.886  0.500
Sm  0.122  0.878  0.118
Sm  0.878  0.122  0.618
Sm  0.886  0.114  0.000
Be  0.458  0.542  0.254
Be  0.542  0.458  0.754
Re  0.204  0.796  0.814
Re  0.796  0.204  0.314
N  0.056  0.944  0.820
N  0.296  0.704  0.451
N  0.302  0.698  0.173
N  0.343  0.657  0.813
N  0.497  0.503  0.091
N  0.503  0.497  0.591
N  0.657  0.343  0.313
N  0.698  0.302  0.673
N  0.704  0.296  0.951
N  0.944  0.056  0.320



# 3
## Tb4ThIn2 (PBE)

Data for a relaxed structure of Tb4ThIn2.

Properties
- magnetic moment (Bohr magnetons per cell) = 0.004
- relative energy among the computed polymorphs (meV per atom) = 233

Unit cell a=10.635 b=10.635 c=10.635 alpha=28.15 beta=28.15 gamma=28.15
Sites, in units of the cell vectors:
Tb  0.114  0.114  0.114
Tb  0.293  0.293  0.293
Tb  0.707  0.707  0.707
Tb  0.886  0.886  0.886
Th  0.500  0.500  0.500
In  0.398  0.398  0.398
In  0.602  0.602  0.602